CsSeIBr2 | PBE | optimized geometry

a = 6.0062 Å, b = 6.0062 Å, c = 5.4858 Å
α = 90.00°, β = 90.00°, γ = 90.00°
Fractional positions:
Cs 0.0000 0.0000 0.0000
Se 0.5000 0.5000 0.0000
I 0.5000 0.5000 0.5000
Br 0.0000 0.5000 0.5000
Br 0.5000 0.0000 0.5000

Density of states at the Fermi level = 3.35 states/eV per cell
ΔE to the lowest computed polymorph = 1.055 eV/f.u.
Space-group type = P4/mmm (123)
Total energy = -2.322 eV per atom
M_tot = 0.00 μB per formula unit